A relaxed Na2NpReN4 crystal. Source: Alexandria, functional PBE.

a = 6.071 Å, b = 6.071 Å, c = 6.071 Å
α = 77.92°, β = 127.20°, γ = 127.20°
Last column: magnetic moment on the atom in μB.
Fractional positions:
1 Na 0.500 0.750 0.250  0.00
2 Na 0.000 0.000 0.000  0.01
3 Np 0.500 0.250 0.750  3.53
4 Re 0.000 0.500 0.500  0.22
5 N 0.604 0.393 0.435  -0.04
6 N 0.042 0.211 0.607  -0.04
7 N 0.958 0.565 0.169  -0.04
8 N 0.396 0.831 0.789  -0.04

V	138	Å³/f.u.
energy relative to the elements, uncorrected	-0.40	eV per atom
spin magnetization	0.500	μB/atom
DOS at the Fermi energy	1.437	states/eV per atom

---

A relaxed Na3Np3ReN8 crystal. Source: Alexandria, functional PBE.

a = 6.678 Å, b = 6.678 Å, c = 6.903 Å
α = 118.94°, β = 90.00°, γ = 120.00°
Last column: magnetic moment on the atom in μB.
Fractional positions:
1 Na 0.000 0.000 0.000  0.00
2 Na 0.000 0.500 0.000  0.00
3 Na 0.500 0.500 0.000  0.00
4 Np 0.500 0.000 0.500  2.27
5 Np 0.500 0.500 0.500  2.27
6 Np 0.000 0.500 0.500  2.27
7 Re 0.000 0.000 0.500  0.70
8 N 0.270 0.539 0.309  -0.12
9 N 0.730 0.461 0.691  -0.12
10 N 0.783 0.567 0.320  -0.08
11 N 0.217 0.433 0.680  -0.08
12 N 0.783 0.037 0.320  -0.08
13 N 0.217 0.963 0.680  -0.08
14 N 0.253 0.037 0.320  -0.08
15 N 0.747 0.963 0.680  -0.08

V	221	Å³/f.u.
energy relative to the elements, uncorrected	-0.61	eV per atom
spin magnetization	0.462	μB/atom
DOS at the Fermi energy	1.071	states/eV per atom

---

A relaxed Na3Np2ReN6 crystal. Source: Alexandria, functional PBE.

a = 5.646 Å, b = 5.646 Å, c = 6.027 Å
α = 98.91°, β = 98.91°, γ = 120.06°
Last column: magnetic moment on the atom in μB.
Fractional positions:
1 Na 0.160 0.840 0.500  0.00
2 Na 0.840 0.160 0.500  0.00
3 Na 0.500 0.500 0.500  0.00
4 Np 0.333 0.667 0.000  0.60
5 Np 0.667 0.333 0.000  0.60
6 Re 0.000 0.000 0.000  -0.25
7 N 0.936 0.609 0.807  -0.03
8 N 0.736 0.736 0.192  -0.03
9 N 0.064 0.391 0.193  -0.03
10 N 0.609 0.936 0.807  -0.03
11 N 0.264 0.264 0.808  -0.03
12 N 0.391 0.064 0.193  -0.03

V	158	Å³/f.u.
energy relative to the elements, uncorrected	-0.58	eV per atom
spin magnetization	0.059	μB/atom
DOS at the Fermi energy	0.870	states/eV per atom

---

A relaxed Na4Np3ReN8 crystal. Source: Alexandria, functional PBE.

a = 6.707 Å, b = 6.886 Å, c = 6.707 Å
α = 119.15°, β = 120.00°, γ = 90.00°
Last column: magnetic moment on the atom in μB.
Fractional positions:
1 Na 0.500 0.000 0.000  0.00
2 Na 0.500 0.000 0.500  0.00
3 Na 0.000 0.000 0.000  0.00
4 Na 0.000 0.000 0.500  0.00
5 Np 0.500 0.500 0.000  2.34
6 Np 0.500 0.500 0.500  2.34
7 Np 0.000 0.500 0.500  2.34
8 Re 0.000 0.500 0.000  1.22
9 N 0.222 0.688 0.965  -0.06
10 N 0.222 0.688 0.445  -0.06
11 N 0.270 0.310 0.540  -0.12
12 N 0.743 0.688 0.965  -0.06
13 N 0.257 0.312 0.035  -0.06
14 N 0.730 0.690 0.460  -0.12
15 N 0.778 0.312 0.555  -0.06
16 N 0.778 0.312 0.035  -0.06

V	222	Å³/f.u.
energy relative to the elements, uncorrected	-0.63	eV per atom
spin magnetization	0.495	μB/atom
DOS at the Fermi energy	0.867	states/eV per atom

---

A relaxed Na3Np3SbN8 crystal. Source: Alexandria, functional PBE.

a = 6.909 Å, b = 6.910 Å, c = 6.930 Å
α = 119.90°, β = 90.00°, γ = 120.00°
Last column: magnetic moment on the atom in μB.
Fractional positions:
1 Na 0.000 0.000 0.000  0.00
2 Na 0.000 0.500 0.000  0.00
3 Na 0.500 0.500 0.000  0.00
4 Np 0.500 0.000 0.500  1.24
5 Np 0.500 0.500 0.500  1.24
6 Np 0.000 0.500 0.500  1.24
7 Sb 0.000 0.000 0.500  -0.01
8 N 0.270 0.540 0.310  -0.08
9 N 0.730 0.460 0.690  -0.08
10 N 0.761 0.523 0.325  -0.08
11 N 0.239 0.477 0.675  -0.08
12 N 0.761 0.064 0.325  -0.08
13 N 0.239 0.936 0.675  -0.08
14 N 0.303 0.064 0.325  -0.08
15 N 0.697 0.936 0.675  -0.08

V	234	Å³/f.u.
energy relative to the elements, uncorrected	-0.51	eV per atom
spin magnetization	0.200	μB/atom
DOS at the Fermi energy	0.688	states/eV per atom

---

A relaxed Na4Np3SiN8 crystal. Source: Alexandria, functional PBE.

a = 6.464 Å, b = 6.738 Å, c = 6.888 Å
α = 117.89°, β = 117.98°, γ = 90.00°
Last column: magnetic moment on the atom in μB.
Fractional positions:
1 Na 0.500 0.000 0.000  0.00
2 Na 0.500 0.000 0.500  0.00
3 Na 0.000 0.000 0.000  0.00
4 Na 0.000 0.000 0.500  0.00
5 Np 0.500 0.500 0.000  2.26
6 Np 0.500 0.500 0.500  1.77
7 Np 0.000 0.500 0.500  1.77
8 Si 0.000 0.500 0.000  0.01
9 N 0.187 0.660 0.945  -0.10
10 N 0.273 0.723 0.545  -0.10
11 N 0.278 0.312 0.556  -0.11
12 N 0.758 0.660 0.945  -0.10
13 N 0.242 0.340 0.055  -0.10
14 N 0.722 0.688 0.444  -0.11
15 N 0.727 0.277 0.455  -0.10
16 N 0.813 0.340 0.055  -0.10

V	225	Å³/f.u.
energy relative to the elements, uncorrected	-0.62	eV per atom
spin magnetization	0.313	μB/atom
DOS at the Fermi energy	0.765	states/eV per atom

---

A relaxed Na3Np3SiN8 crystal. Source: Alexandria, functional PBE.

a = 6.507 Å, b = 6.801 Å, c = 6.758 Å
α = 118.31°, β = 90.00°, γ = 118.58°
Last column: magnetic moment on the atom in μB.
Fractional positions:
1 Na 0.000 0.000 0.000  0.00
2 Na 0.000 0.500 0.000  0.00
3 Na 0.500 0.500 0.000  0.00
4 Np 0.500 0.000 0.500  2.07
5 Np 0.500 0.500 0.500  1.37
6 Np 0.000 0.500 0.500  1.37
7 Si 0.000 0.000 0.500  0.01
8 N 0.276 0.552 0.310  -0.09
9 N 0.724 0.448 0.690  -0.09
10 N 0.732 0.464 0.292  -0.09
11 N 0.268 0.536 0.708  -0.09
12 N 0.817 0.058 0.346  -0.10
13 N 0.183 0.942 0.654  -0.10
14 N 0.241 0.058 0.346  -0.10
15 N 0.759 0.942 0.654  -0.10

V	221	Å³/f.u.
energy relative to the elements, uncorrected	-0.59	eV per atom
spin magnetization	0.267	μB/atom
DOS at the Fermi energy	0.835	states/eV per atom

---

A relaxed Na4Np3SnN8 crystal. Source: Alexandria, functional PBE.

a = 6.845 Å, b = 6.950 Å, c = 6.836 Å
α = 119.53°, β = 120.04°, γ = 90.00°
Last column: magnetic moment on the atom in μB.
Fractional positions:
1 Na 0.500 0.000 0.000  0.00
2 Na 0.500 0.000 0.500  0.00
3 Na 0.000 0.000 0.000  0.00
4 Na 0.000 0.000 0.500  0.00
5 Np 0.500 0.500 0.000  1.90
6 Np 0.500 0.500 0.500  1.91
7 Np 0.000 0.500 0.500  1.91
8 Sn 0.000 0.500 0.000  0.06
9 N 0.237 0.692 0.955  -0.09
10 N 0.237 0.692 0.474  -0.09
11 N 0.273 0.320 0.547  -0.11
12 N 0.718 0.692 0.955  -0.09
13 N 0.282 0.308 0.045  -0.09
14 N 0.727 0.680 0.453  -0.11
15 N 0.763 0.308 0.526  -0.09
16 N 0.763 0.308 0.045  -0.09

V	231	Å³/f.u.
energy relative to the elements, uncorrected	-0.59	eV per atom
spin magnetization	0.312	μB/atom
DOS at the Fermi energy	0.893	states/eV per atom

---

A relaxed NaSrNpN3 crystal. Source: Alexandria, functional PBE.

a = 5.865 Å, b = 5.734 Å, c = 6.768 Å
α = 64.94°, β = 84.98°, γ = 78.09°
Last column: magnetic moment on the atom in μB.
Fractional positions:
1 Na 0.250 0.568 0.863  0.00
2 Na 0.750 0.432 0.137  0.00
3 Sr 0.250 0.243 0.515  0.01
4 Sr 0.750 0.757 0.485  0.01
5 Np 0.750 0.070 0.860  1.22
6 Np 0.250 0.930 0.140  1.22
7 N 0.499 0.863 0.883  -0.07
8 N 0.001 0.254 0.883  -0.07
9 N 0.750 0.233 0.535  -0.10
10 N 0.501 0.137 0.117  -0.07
11 N 0.999 0.746 0.117  -0.07
12 N 0.250 0.767 0.465  -0.10

V	101	Å³/f.u.
energy relative to the elements, uncorrected	-0.70	eV per atom
spin magnetization	0.167	μB/atom
DOS at the Fermi energy	0.597	states/eV per atom

---

A relaxed NaSrNp4N8 crystal. Source: Alexandria, functional PBE.

a = 6.906 Å, b = 6.906 Å, c = 6.751 Å
α = 59.24°, β = 59.24°, γ = 60.00°
Last column: magnetic moment on the atom in μB.
Fractional positions:
1 Na 0.999 0.999 0.003  0.00
2 Sr 0.383 0.383 0.851  0.00
3 Np 0.614 0.614 0.157  3.24
4 Np 0.002 0.496 0.501  1.51
5 Np 0.496 0.002 0.501  1.51
6 Np 0.002 0.002 0.501  1.51
7 N 0.246 0.824 0.684  -0.11
8 N 0.824 0.246 0.684  -0.11
9 N 0.246 0.246 0.684  -0.11
10 N 0.230 0.230 0.311  -0.11
11 N 0.743 0.214 0.301  -0.13
12 N 0.214 0.743 0.301  -0.13
13 N 0.743 0.743 0.301  -0.13
14 N 0.759 0.759 0.722  -0.12

V	225	Å³/f.u.
energy relative to the elements, uncorrected	-0.85	eV per atom
spin magnetization	0.500	μB/atom
DOS at the Fermi energy	1.371	states/eV per atom

---

A relaxed Na3Np2TaN6 crystal. Source: Alexandria, functional PBE.

a = 5.807 Å, b = 5.807 Å, c = 6.015 Å
α = 99.21°, β = 99.21°, γ = 120.02°
Last column: magnetic moment on the atom in μB.
Fractional positions:
1 Na 0.162 0.838 0.500  0.00
2 Na 0.838 0.162 0.500  0.00
3 Na 0.500 0.500 0.500  0.00
4 Np 0.333 0.667 0.000  2.20
5 Np 0.667 0.333 0.000  2.20
6 Ta 0.000 0.000 0.000  0.10
7 N 0.938 0.616 0.813  -0.09
8 N 0.740 0.740 0.187  -0.09
9 N 0.062 0.384 0.187  -0.09
10 N 0.616 0.938 0.813  -0.09
11 N 0.260 0.260 0.813  -0.09
12 N 0.384 0.062 0.187  -0.09

V	166	Å³/f.u.
energy relative to the elements, uncorrected	-0.86	eV per atom
spin magnetization	0.333	μB/atom
DOS at the Fermi energy	0.902	states/eV per atom

---

A relaxed Na4NpTa3N8 crystal. Source: Alexandria, functional PBE.

a = 6.429 Å, b = 6.804 Å, c = 6.429 Å
α = 118.20°, β = 120.00°, γ = 90.00°
Last column: magnetic moment on the atom in μB.
Fractional positions:
1 Na 0.500 0.000 0.000  0.00
2 Na 0.500 0.000 0.500  0.00
3 Na 0.000 0.000 0.000  0.00
4 Na 0.000 0.000 0.500  0.00
5 Np 0.000 0.500 0.000  1.93
6 Ta 0.500 0.500 0.000  0.07
7 Ta 0.500 0.500 0.500  0.07
8 Ta 0.000 0.500 0.500  0.07
9 N 0.235 0.690 0.956  -0.04
10 N 0.235 0.690 0.469  -0.04
11 N 0.269 0.308 0.539  0.00
12 N 0.721 0.690 0.956  -0.04
13 N 0.279 0.310 0.044  -0.04
14 N 0.731 0.692 0.461  0.00
15 N 0.765 0.310 0.531  -0.04
16 N 0.765 0.310 0.044  -0.04

V	204	Å³/f.u.
energy relative to the elements, uncorrected	-0.88	eV per atom
spin magnetization	0.126	μB/atom
DOS at the Fermi energy	0.254	states/eV per atom

---

A relaxed Na3Np3TaN8 crystal. Source: Alexandria, functional PBE.

a = 6.745 Å, b = 6.745 Å, c = 6.922 Å
α = 119.15°, β = 90.00°, γ = 120.00°
Last column: magnetic moment on the atom in μB.
Fractional positions:
1 Na 0.000 0.000 0.000  0.00
2 Na 0.000 0.500 0.000  0.00
3 Na 0.500 0.500 0.000  0.00
4 Np 0.500 0.000 0.500  1.93
5 Np 0.500 0.500 0.500  1.93
6 Np 0.000 0.500 0.500  1.94
7 Ta 0.000 0.000 0.500  0.04
8 N 0.271 0.542 0.313  -0.11
9 N 0.729 0.458 0.687  -0.11
10 N 0.780 0.560 0.323  -0.10
11 N 0.220 0.440 0.677  -0.10
12 N 0.780 0.044 0.324  -0.10
13 N 0.220 0.956 0.676  -0.10
14 N 0.263 0.044 0.324  -0.10
15 N 0.737 0.956 0.676  -0.10

V	226	Å³/f.u.
energy relative to the elements, uncorrected	-0.83	eV per atom
spin magnetization	0.333	μB/atom
DOS at the Fermi energy	0.897	states/eV per atom

---

A relaxed NaTb2Np3N6 crystal. Source: Alexandria, functional PBE.

a = 3.480 Å, b = 6.967 Å, c = 7.723 Å
α = 102.80°, β = 103.02°, γ = 90.00°
Last column: magnetic moment on the atom in μB.
Fractional positions:
1 Na 0.500 0.000 0.000  0.01
2 Tb 0.834 0.669 0.667  0.18
3 Tb 0.166 0.331 0.333  0.18
4 Np 0.500 0.500 0.000  2.86
5 Np 0.836 0.165 0.672  3.26
6 Np 0.164 0.835 0.328  3.26
7 N 0.321 0.921 0.642  -0.12
8 N 0.665 0.588 0.330  -0.12
9 N 0.679 0.079 0.358  -0.12
10 N 0.996 0.289 0.991  -0.14
11 N 0.004 0.711 0.009  -0.14
12 N 0.335 0.412 0.670  -0.12

V	178	Å³/f.u.
energy relative to the elements, uncorrected	-1.18	eV per atom
spin magnetization	0.799	μB/atom
DOS at the Fermi energy	1.457	states/eV per atom

---

A relaxed Na3Np3TcN8 crystal. Source: Alexandria, functional PBE.

a = 6.704 Å, b = 6.704 Å, c = 6.874 Å
α = 119.19°, β = 90.00°, γ = 120.00°
Last column: magnetic moment on the atom in μB.
Fractional positions:
1 Na 0.000 0.000 0.000  0.00
2 Na 0.000 0.500 0.000  0.00
3 Na 0.500 0.500 0.000  0.00
4 Np 0.500 0.000 0.500  1.94
5 Np 0.500 0.500 0.500  1.94
6 Np 0.000 0.500 0.500  1.94
7 Tc 0.000 0.000 0.500  1.64
8 N 0.270 0.540 0.310  -0.10
9 N 0.730 0.460 0.690  -0.10
10 N 0.778 0.556 0.323  -0.07
11 N 0.222 0.444 0.677  -0.07
12 N 0.778 0.045 0.323  -0.07
13 N 0.222 0.955 0.677  -0.07
14 N 0.267 0.045 0.323  -0.07
15 N 0.733 0.955 0.677  -0.07

V	221	Å³/f.u.
energy relative to the elements, uncorrected	-0.60	eV per atom
spin magnetization	0.468	μB/atom
DOS at the Fermi energy	0.907	states/eV per atom

---

A relaxed NaThNp4N8 crystal. Source: Alexandria, functional PBE.

a = 6.932 Å, b = 6.932 Å, c = 6.666 Å
α = 58.67°, β = 58.67°, γ = 60.00°
Last column: magnetic moment on the atom in μB.
Fractional positions:
1 Na 0.997 0.997 0.008  0.00
2 Th 0.392 0.392 0.825  0.04
3 Np 0.620 0.620 0.141  3.29
4 Np 0.002 0.498 0.498  2.12
5 Np 0.498 0.002 0.498  2.12
6 Np 0.002 0.002 0.498  2.12
7 N 0.246 0.802 0.705  -0.11
8 N 0.802 0.246 0.705  -0.11
9 N 0.246 0.246 0.705  -0.11
10 N 0.240 0.240 0.281  -0.10
11 N 0.737 0.220 0.306  -0.15
12 N 0.220 0.737 0.306  -0.15
13 N 0.737 0.737 0.306  -0.15
14 N 0.761 0.761 0.716  -0.14

V	222	Å³/f.u.
energy relative to the elements, uncorrected	-0.98	eV per atom
spin magnetization	0.643	μB/atom
DOS at the Fermi energy	1.561	states/eV per atom

---

A relaxed Na2NpTiN4 crystal. Source: Alexandria, functional PBE.

a = 3.325 Å, b = 5.501 Å, c = 5.914 Å
α = 107.05°, β = 90.00°, γ = 90.00°
Last column: magnetic moment on the atom in μB.
Fractional positions:
1 Na 0.500 0.000 0.500  0.00
2 Na 0.000 0.500 0.500  0.00
3 Np 0.500 0.500 0.000  1.18
4 Ti 0.000 0.000 0.000  0.02
5 N 0.500 0.231 0.183  -0.04
6 N 0.500 0.769 0.817  -0.04
7 N 0.000 0.261 0.811  -0.05
8 N 0.000 0.739 0.189  -0.05

V	103	Å³/f.u.
energy relative to the elements, uncorrected	-0.90	eV per atom
spin magnetization	0.126	μB/atom
DOS at the Fermi energy	0.340	states/eV per atom

---

A relaxed Na3Np2TiN6 crystal. Source: Alexandria, functional PBE.

a = 5.758 Å, b = 5.758 Å, c = 5.972 Å
α = 99.13°, β = 99.13°, γ = 120.08°
Last column: magnetic moment on the atom in μB.
Fractional positions:
1 Na 0.160 0.840 0.500  0.00
2 Na 0.840 0.160 0.500  0.00
3 Na 0.500 0.500 0.500  0.00
4 Np 0.333 0.667 0.000  1.67
5 Np 0.667 0.333 0.000  1.67
6 Ti 0.000 0.000 0.000  0.15
7 N 0.938 0.610 0.815  -0.08
8 N 0.733 0.733 0.185  -0.08
9 N 0.062 0.390 0.185  -0.08
10 N 0.610 0.938 0.815  -0.08
11 N 0.267 0.267 0.815  -0.08
12 N 0.390 0.062 0.185  -0.08

V	162	Å³/f.u.
energy relative to the elements, uncorrected	-0.87	eV per atom
spin magnetization	0.250	μB/atom
DOS at the Fermi energy	0.842	states/eV per atom

---

A relaxed Na4TmNp3N8 crystal. Source: Alexandria, functional PBE.

a = 6.906 Å, b = 6.923 Å, c = 6.906 Å
α = 119.92°, β = 120.00°, γ = 90.00°
Last column: magnetic moment on the atom in μB.
Fractional positions:
1 Na 0.500 0.000 0.000  0.00
2 Na 0.500 0.000 0.500  0.00
3 Na 0.000 0.000 0.000  0.00
4 Na 0.000 0.000 0.500  0.00
5 Tm 0.000 0.500 0.000  -0.02
6 Np 0.500 0.500 0.000  1.60
7 Np 0.500 0.500 0.500  1.60
8 Np 0.000 0.500 0.500  1.60
9 N 0.238 0.683 0.944  -0.09
10 N 0.238 0.683 0.477  -0.09
11 N 0.272 0.315 0.543  -0.10
12 N 0.706 0.683 0.944  -0.09
13 N 0.294 0.317 0.056  -0.09
14 N 0.728 0.685 0.457  -0.10
15 N 0.762 0.317 0.523  -0.09
16 N 0.762 0.317 0.056  -0.09

V	234	Å³/f.u.
energy relative to the elements, uncorrected	-0.90	eV per atom
spin magnetization	0.250	μB/atom
DOS at the Fermi energy	0.643	states/eV per atom